[1]
AcLa3PmEr PBE relaxed; energy of formation from the pure elements = 174 meV/atom; space group = C2/m (12); crystal system = monoclinic
1.0
5.975 0.000 0.000
-2.988 10.445 1.639
0.000 -1.273 6.988
La Pm Er Ac
6 2 2 2
Direct
0.485 0.970 0.252
0.219 0.438 0.285
0.159 0.317 0.749
0.841 0.683 0.251
0.515 0.030 0.748
0.781 0.562 0.715
0.942 0.884 0.715
0.058 0.116 0.285
0.360 0.720 0.507
0.640 0.280 0.493
0.649 0.298 0.033
0.351 0.702 0.967

***

[2]
KAgHgO2 PBE relaxed; space group = Cmme (67); formation energy (no corrections) = -0.504 eV per atom; crystal system = orthorhombic
1.0
4.939 0.000 0.000
0.000 6.815 0.000
0.000 -3.407 6.356
O K Ag Hg
4 2 2 2
Direct
0.681 0.608 0.216
0.319 0.108 0.216
0.681 0.892 0.784
0.319 0.392 0.784
0.279 0.750 0.500
0.721 0.250 0.500
0.000 0.000 0.000
0.000 0.500 0.000
0.500 0.250 0.000
0.500 0.750 0.000

***

[3]
BHPt4 PBE relaxed; space group = I4_1md (109); energy relative to the lowest polymorph listed for this composition = 0.000 eV/atom; crystal system = tetragonal
1.0
5.862 -0.367 0.000
-2.703 5.215 0.000
-1.580 -2.424 5.112
B Pt H
2 8 2
Direct
0.983 0.483 0.500
0.233 0.233 0.000
0.297 0.504 0.793
0.254 0.961 0.707
0.711 0.504 0.207
0.761 0.028 0.268
0.243 0.011 0.232
0.778 0.011 0.768
0.761 0.493 0.732
0.254 0.547 0.293
0.737 0.737 0.000
0.487 0.987 0.500

***

[4]
RbTePb PBE relaxed; space group = C2/m (12); formation energy (no corrections) = -0.526 eV per atom; energy relative to the lowest polymorph listed for this composition = 0.000 eV/atom; crystal system = monoclinic
1.0
6.341 0.000 0.000
-3.171 5.832 -0.013
0.000 -1.779 7.197
Pb Rb Te
2 2 2
Direct
0.099 0.198 0.875
0.901 0.802 0.125
0.636 0.271 0.296
0.364 0.729 0.704
0.319 0.639 0.193
0.681 0.361 0.807